Entry from OQMD via LeMat-Bulk: a geometry-optimized GdNbI2O2 structure (PBE).

The space group is P4mm (No. 99) and the conventional cell measures 3.825, 3.825 and 9.194 Å, with angles of 90.00, 90.00 and 90.00 degrees. The asymmetric unit holds Gd at (0.000, 0.000, 0.000), Nb at (0.500, 0.500, 0.759), I at (0.000, 0.000, 0.568), I at (0.500, 0.500, 0.209) and O at (0.000, 0.500, 0.870).

The calculation puts the raw total energy at -6.469 eV per atom.

=====

Entry from OQMD via LeMat-Bulk: a geometry-optimized NdGdI6 structure (PBE).

The space group is C2 (No. 5) and the conventional cell measures 7.780, 13.498 and 7.733 Å, with angles of 90.00, 109.22 and 90.00 degrees. The asymmetric unit holds Nd at (0.000, 0.000, 0.000), Gd at (0.000, 0.332, 0.000), I at (0.227, 0.169, 0.249), I at (0.242, 0.339, 0.757) and I at (0.248, 0.489, 0.243).

The calculation puts the raw total energy at -3.754 eV per atom.

=====

Entry from OQMD via LeMat-Bulk: a geometry-optimized NdGdI2O2 structure (PBE).

The space group is P4mm (No. 99) and the conventional cell measures 4.018, 4.018 and 9.263 Å, with angles of 90.00, 90.00 and 90.00 degrees. The asymmetric unit holds Nd at (0.000, 0.000, 0.000), Gd at (0.500, 0.500, 0.247), I at (0.000, 0.000, 0.453), I at (0.500, 0.500, 0.794) and O at (0.000, 0.500, 0.129).

The calculation puts the raw total energy at -6.426 eV per atom.